[1]
ZrSc after structural relaxation, computed with PBE-GGA.

Values from the calculation:
Space-group type ... Pbcm (57)
E_tot ... -7.411 eV/atom
Calculated formation energy ... 0.028 eV/atom
Density ... 4.8 Mg/m³

Geometry as POSCAR:
```
ZrSc
1.0
10.053 0.000 0.000
0.000 8.700 0.000
0.000 0.000 6.399
Sc Zr
12 12
Direct
0.126 0.582 0.750
0.874 0.082 0.750
0.624 0.916 0.250
0.874 0.418 0.250
0.876 0.750 0.500
0.124 0.250 0.000
0.126 0.918 0.250
0.376 0.416 0.250
0.624 0.584 0.750
0.876 0.750 0.000
0.376 0.084 0.750
0.124 0.250 0.500
0.627 0.250 0.500
0.378 0.082 0.250
0.627 0.250 0.000
0.373 0.750 0.500
0.622 0.918 0.750
0.129 0.915 0.750
0.129 0.585 0.250
0.378 0.418 0.750
0.871 0.085 0.250
0.373 0.750 0.000
0.622 0.582 0.250
0.871 0.415 0.750
```

---

[2]
Hf2ZrOs2 after structural relaxation, computed with PBE-GGA.

Values from the calculation:
Space-group type ... P4/mbm (127)
E_tot ... -10.465 eV/atom
Energy above the lowest structure with this stoichiometry ... 23 meV/atom
Calculated formation energy ... -0.282 eV/atom
Density ... 14.4 Mg/m³

Geometry as POSCAR:
```
Hf2ZrOs2
1.0
7.623 0.000 0.000
0.000 7.623 0.000
0.000 0.000 3.293
Os Hf Zr
4 4 2
Direct
0.643 0.143 0.000
0.357 0.857 0.000
0.857 0.643 0.000
0.143 0.357 0.000
0.847 0.347 0.500
0.347 0.153 0.500
0.153 0.653 0.500
0.653 0.847 0.500
0.500 0.500 0.000
0.000 0.000 0.000
```

---

[3]
Tb4GeRh3 after structural relaxation, computed with PBE-GGA.

Values from the calculation:
Space-group type ... Pmm2 (25)
E_tot ... -6.481 eV/atom
Calculated formation energy ... -0.832 eV/atom
Density ... 9.6 Mg/m³

Geometry as POSCAR:
```
Tb4GeRh3
1.0
-3.629 -1.313 0.251
0.671 -1.081 4.063
-3.281 9.666 3.113
Rh Tb Ge
3 4 1
Direct
0.000 0.500 0.585
0.500 0.000 0.926
0.000 0.000 0.412
0.500 0.500 0.366
0.000 0.500 0.853
0.000 0.000 0.144
0.500 0.000 0.640
0.500 0.500 0.074
```

---

Please write out number 3 again, unchanged.
Tb4GeRh3 after structural relaxation, computed with PBE-GGA.

Values from the calculation:
Space-group type ... Pmm2 (25)
E_tot ... -6.481 eV/atom
Calculated formation energy ... -0.832 eV/atom
Density ... 9.6 Mg/m³

Geometry as POSCAR:
```
Tb4GeRh3
1.0
-3.629 -1.313 0.251
0.671 -1.081 4.063
-3.281 9.666 3.113
Rh Tb Ge
3 4 1
Direct
0.000 0.500 0.585
0.500 0.000 0.926
0.000 0.000 0.412
0.500 0.500 0.366
0.000 0.500 0.853
0.000 0.000 0.144
0.500 0.000 0.640
0.500 0.500 0.074
```

---

The highest density belongs to which entry? Hf2ZrOs2

---

Look up the E_tot of the second one. -10.465 eV/atom

---

Among the records above, which one has the highest density? Hf2ZrOs2